No. 1
Material: BaTc2W
Method: DFT, PBE-GGA
State: optimized geometry

a = 3.102 Å, b = 5.626 Å, c = 9.632 Å
α = 90.00°, β = 90.00°, γ = 90.00°
Space group Immm (No. 71)
Asymmetric unit:
Ba (0.000, 0.000, 0.000) (multiplicity 2)
Tc (0.000, 0.500, 0.209) (multiplicity 4)
W (0.000, 0.000, 0.500) (multiplicity 2)

Magnetization, μB per formula unit: 0.00
Formation enthalpy at 0 K, eV per formula unit: 4.6

***

No. 2
Material: Mg2MnBr
Method: DFT, PBE-GGA
State: optimized geometry

a = 3.350 Å, b = 4.767 Å, c = 5.788 Å
α = 90.00°, β = 90.00°, γ = 90.00°
Space group Pmmm (No. 47)
Asymmetric unit:
Mg (0.000, 0.000, 0.000) (multiplicity 1)
Mg (0.500, 0.000, 0.500) (multiplicity 1)
Mn (0.000, 0.500, 0.500) (multiplicity 1)
Br (0.500, 0.500, 0.000) (multiplicity 1)

Magnetization, μB per formula unit: 4.07
Formation energy from raw total energies, eV/atom: 0.204

***

No. 3
Material: Gd2ScIn
Method: DFT, PBE-GGA
State: optimized geometry

a = 3.4330 Å, b = 3.4330 Å, c = 35.4631 Å
α = 90.00°, β = 90.00°, γ = 120.00°
Space group R-3m (No. 166, hexagonal axes)
Asymmetric unit:
Gd (0.0000, 0.0000, 0.0907) (multiplicity 6)
Sc (0.0000, 0.0000, 0.5000) (multiplicity 3)
In (0.0000, 0.0000, 0.0000) (multiplicity 3)

Magnetization, μB per formula unit: 14.55
Formation enthalpy at 0 K, eV per formula unit: 0.4

***

No. 4
Material: CsNa2YI6
Method: DFT, PBE-GGA
State: optimized geometry

a = 8.291 Å, b = 8.291 Å, c = 9.032 Å
α = 90.00°, β = 62.69°, γ = 60.01°
Space group P1 (No. 1)
Asymmetric unit:
Cs (0.000, 0.000, 0.000) (multiplicity 1)
Na (0.563, 0.718, 0.155) (multiplicity 1)
Na (0.604, 0.198, 0.593) (multiplicity 1)
Y (0.943, 0.529, 0.586) (multiplicity 1)
I (0.088, 0.769, 0.373) (multiplicity 1)
I (0.089, 0.528, 0.843) (multiplicity 1)
I (0.396, 0.143, 0.372) (multiplicity 1)
I (0.540, 0.931, 0.842) (multiplicity 1)
I (0.686, 0.383, 0.843) (multiplicity 1)
I (0.770, 0.461, 0.372) (multiplicity 1)

Magnetization, μB per formula unit: 0.00
Formation energy from raw total energies, eV/atom: -1.362

***

No. 5
Material: Li2Ho2Mg5Sc
Method: DFT, PBE-GGA
State: optimized geometry

a = 10.548 Å, b = 10.548 Å, c = 4.221 Å
α = 90.00°, β = 90.00°, γ = 90.00°
Space group P4/mbm (No. 127)
Asymmetric unit:
Li (0.117, 0.383, 0.000) (multiplicity 4)
Ho (0.180, 0.680, 0.000) (multiplicity 4)
Mg (0.000, 0.500, 0.500) (multiplicity 2)
Mg (0.059, 0.208, 0.500) (multiplicity 8)
Sc (0.000, 0.000, 0.000) (multiplicity 2)

Magnetization, μB per formula unit: 0.00
Formation enthalpy at 0 K, eV per formula unit: -0.1

***

No. 6
Material: TaCu2Rh
Method: DFT, PBE-GGA
State: optimized geometry

a = 5.092 Å, b = 7.951 Å, c = 2.811 Å
α = 90.00°, β = 90.00°, γ = 90.00°
Space group Cmmm (No. 65)
Asymmetric unit:
Ta (0.000, 0.000, 0.000) (multiplicity 2)
Cu (0.250, 0.250, 0.500) (multiplicity 4)
Rh (0.000, 0.500, 0.000) (multiplicity 2)

Magnetization, μB per formula unit: 0.00
Formation enthalpy at 0 K, eV per formula unit: 0.0